Material: TiAl6Os
Method: DFT, GGA-PBE
State: relaxed

abc: 5.482 5.482 5.482
angles: 107.38 107.38 107.38
Sites, in units of the cell vectors:
1 Ti 0.000 0.000 0.000
2 Al 0.228 0.228 0.693
3 Al 0.228 0.693 0.228
4 Al 0.307 0.772 0.772
5 Al 0.693 0.228 0.228
6 Al 0.772 0.307 0.772
7 Al 0.772 0.772 0.307
8 Os 0.500 0.500 0.500

Properties
D(E_F) = 1.5 states/eV/f.u.
crystal system = trigonal
raw total energy = -42.9 eV/cell
size of the total moment = 0.000 μB per cell
calculated formation energy = -0.1596 eV per atom